Entry 1:
## ScBe2Se (SCAN)

Data for a PBEsol-optimized structure of ScBe2Se.

Lattice parameters (Å, degrees): 3.627 3.627 4.941 111.53 111.53 90.00
Element x y z (fractional)
1 Sc 0.000 0.000 0.000
2 Be 0.500 0.500 0.000
3 Be 0.250 0.750 0.500
4 Se 0.750 0.250 0.500

Results
Mass density (g cm⁻³): 4.24
Space group: I-4m2, No. 119
Total magnetic moment (μB/atom): 0.00
Raw formation energy (meV per atom): -143
V (Å³ per atom): 13.89

---

Entry 2:
## La2Ta (SCAN)

Data for a PBEsol-optimized structure of La2Ta.

Lattice parameters (Å, degrees): 3.160 4.914 5.759 115.25 105.93 90.00
Element x y z (fractional)
1 La 0.843 0.843 0.685
2 La 0.157 0.157 0.315
3 Ta 0.500 0.500 0.000

Results
E above lowest polymorph (meV per atom): 133
Mass density (g cm⁻³): 9.89
Space group: Immm, No. 71
Calculated formation energy (eV/atom): 0.5267
Total magnetic moment (μB/atom): 0.00
V (Å³ per atom): 25.69

---

Entry 3:
## TaAlIn2 (SCAN)

Data for a PBEsol-optimized structure of TaAlIn2.

Lattice parameters (Å, degrees): 4.824 4.824 4.824 60.00 60.00 60.00
Site moments in Bohr magnetons follow the coordinates.
Element x y z (fractional)
1 In 0.000 0.000 0.000  -0.01
2 In 0.750 0.750 0.750  -0.01
3 Al 0.500 0.500 0.500  0.01
4 Ta 0.250 0.250 0.250  0.78

Results
Mass density (g cm⁻³): 9.15
Space group: F-43m, No. 216
Calculated formation energy (eV/atom): 0.5993
Total magnetic moment (μB/atom): 0.30
V (Å³ per atom): 19.85

---

Entry 4:
## Ca2TlZn (SCAN)

Data for a PBEsol-optimized structure of Ca2TlZn.

Lattice parameters (Å, degrees): 3.588 5.272 6.484 116.83 106.06 90.00
Element x y z (fractional)
1 Tl 0.534 0.552 0.067
2 Ca 0.968 0.979 0.937
3 Ca 0.765 0.256 0.531
4 Zn 0.233 0.713 0.465

Results
Mass density (g cm⁻³): 5.58
Space group: Cm, No. 8
Calculated formation energy (eV/atom): -0.3425
Total magnetic moment (μB/atom): 0.00
V (Å³ per atom): 26.01

---

Entry 5:
## TlSn2Hg (SCAN)

Data for a PBEsol-optimized structure of TlSn2Hg.

Lattice parameters (Å, degrees): 4.351 4.351 11.741 100.68 100.68 90.00
Element x y z (fractional)
1 Tl 0.250 0.750 0.500
2 Tl 0.000 0.000 0.000
3 Hg 0.750 0.250 0.500
4 Hg 0.500 0.500 0.000
5 Sn 0.381 0.875 0.250
6 Sn 0.869 0.375 0.250
7 Sn 0.125 0.131 0.750
8 Sn 0.625 0.619 0.750

Results
E above lowest polymorph (meV per atom): 0
Mass density (g cm⁻³): 9.94
Space group: I-42d, No. 122
Calculated formation energy (eV/atom): 0.1042
Total magnetic moment (μB/atom): 0.00
V (Å³ per atom): 26.82

---

Entry 6:
## MgRhIO2 (SCAN)

Data for a PBEsol-optimized structure of MgRhIO2.

Lattice parameters (Å, degrees): 3.839 3.839 5.920 90.00 90.00 90.00
Site moments in Bohr magnetons follow the coordinates.
Element x y z (fractional)
1 I 0.000 0.000 0.500  0.03
2 Mg 0.000 0.000 0.000  -0.02
3 Rh 0.500 0.500 0.500  1.30
4 O 0.000 0.500 0.000  0.74
5 O 0.500 0.000 0.000  0.74

Results
Mass density (g cm⁻³): 5.44
Space group: P4/mmm, No. 123
Total magnetic moment (μB/atom): 0.64
Raw formation energy (meV per atom): -343
V (Å³ per atom): 17.45

---

Entry 7:
## CdHg (SCAN)

Data for a PBEsol-optimized structure of CdHg.

Lattice parameters (Å, degrees): 3.314 3.314 4.980 70.56 70.56 60.00
Element x y z (fractional)
1 Hg 0.500 0.500 0.500
2 Cd 0.000 0.000 0.000

Results
Mass density (g cm⁻³): 11.88
Space group: R-3m, No. 166
Calculated formation energy (eV/atom): -0.0074
Total magnetic moment (μB/atom): 0.00
V (Å³ per atom): 21.87

---

Entry 8:
## Y3Tc (SCAN)

Data for a PBEsol-optimized structure of Y3Tc.

Lattice parameters (Å, degrees): 3.501 3.501 9.790 90.00 90.00 120.00
Site moments in Bohr magnetons follow the coordinates.
Element x y z (fractional)
1 Tc 0.000 0.000 0.000  0.03
2 Y 0.000 0.000 0.500  0.38
3 Y 0.667 0.333 0.801  0.05
4 Y 0.667 0.333 0.199  0.05

Results
Mass density (g cm⁻³): 5.83
Space group: P-6m2, No. 187
Calculated formation energy (eV/atom): 0.2030
Total magnetic moment (μB/atom): 0.19
V (Å³ per atom): 25.97

---

Entry 9:
## MgBeTc3 (SCAN)

Data for a PBEsol-optimized structure of MgBeTc3.

Lattice parameters (Å, degrees): 4.148 4.148 4.148 90.00 90.00 90.00
Element x y z (fractional)
1 Be 0.000 0.000 0.000
2 Mg 0.500 0.500 0.500
3 Tc 0.000 0.500 0.000
4 Tc 0.000 0.000 0.500
5 Tc 0.500 0.000 0.000

Results
Mass density (g cm⁻³): 7.61
Space group: Pm-3m, No. 221
Calculated formation energy (eV/atom): 0.6495
Total magnetic moment (μB/atom): 0.00
V (Å³ per atom): 14.28

---

Entry 10:
## Mn2AsRh (SCAN)

Data for a PBEsol-optimized structure of Mn2AsRh.

Lattice parameters (Å, degrees): 3.716 3.716 4.587 113.89 113.89 90.00
Site moments in Bohr magnetons follow the coordinates.
Element x y z (fractional)
1 As 0.500 0.500 0.000  -0.03
2 Mn 0.750 0.250 0.500  -3.63
3 Mn 0.000 0.000 0.000  3.54
4 Rh 0.250 0.750 0.500  -0.09

Results
Mass density (g cm⁻³): 9.20
Space group: I-4m2, No. 119
Calculated formation energy (eV/atom): -0.4507
Total magnetic moment (μB/atom): 0.05
V (Å³ per atom): 12.98

---

Entry 11:
## SiAgBr3 (SCAN)

Data for a PBEsol-optimized structure of SiAgBr3.

Lattice parameters (Å, degrees): 5.097 5.097 5.097 90.00 90.00 90.00
Element x y z (fractional)
1 Si 0.000 0.000 0.000
2 Br 0.000 0.500 0.000
3 Br 0.000 0.000 0.500
4 Br 0.500 0.000 0.000
5 Ag 0.500 0.500 0.500

Results
Mass density (g cm⁻³): 4.71
Space group: Pm-3m, No. 221
Total magnetic moment (μB/atom): 0.00
Raw formation energy (meV per atom): -28
V (Å³ per atom): 26.49

---

Entry 12:
## Zr3In (SCAN)

Data for a PBEsol-optimized structure of Zr3In.

Lattice parameters (Å, degrees): 3.233 4.057 6.594 90.00 90.00 90.00
Element x y z (fractional)
1 Zr 0.500 0.500 0.753
2 Zr 0.000 0.000 0.500
3 Zr 0.500 0.500 0.247
4 In 0.000 0.000 0.000

Results
Mass density (g cm⁻³): 7.46
Space group: Pmmm, No. 47
Calculated formation energy (eV/atom): -0.2467
Total magnetic moment (μB/atom): 0.00
V (Å³ per atom): 21.62

---

Entry 13:
## Cr2NiOs (SCAN)

Data for a PBEsol-optimized structure of Cr2NiOs.

Lattice parameters (Å, degrees): 2.607 4.346 4.410 108.89 90.00 90.00
Element x y z (fractional)
1 Cr 0.000 0.000 0.000
2 Cr 0.500 0.500 0.000
3 Ni 0.500 0.000 0.500
4 Os 0.000 0.500 0.500

Results
Mass density (g cm⁻³): 12.40
Space group: P2/m, No. 10
Calculated formation energy (eV/atom): 0.1509
Total magnetic moment (μB/atom): 0.00
V (Å³ per atom): 11.82

---

Entry 14:
## SrBeCu2 (SCAN)

Data for a PBEsol-optimized structure of SrBeCu2.

Lattice parameters (Å, degrees): 3.009 3.009 6.931 90.00 90.00 90.00
Element x y z (fractional)
1 Sr 0.500 0.500 0.000
2 Cu 0.000 0.000 0.669
3 Cu 0.000 0.000 0.331
4 Be 0.500 0.500 0.500

Results
Mass density (g cm⁻³): 5.92
Space group: P4/mmm, No. 123
Calculated formation energy (eV/atom): 0.2627
Total magnetic moment (μB/atom): 0.00
V (Å³ per atom): 15.69

---

Entry 15:
## TlIn2Hg (SCAN)

Data for a PBEsol-optimized structure of TlIn2Hg.

Lattice parameters (Å, degrees): 5.245 5.245 5.245 60.00 60.00 60.00
Element x y z (fractional)
1 Tl 0.250 0.250 0.250
2 Hg 0.500 0.500 0.500
3 In 0.000 0.000 0.000
4 In 0.750 0.750 0.750

Results
Mass density (g cm⁻³): 10.33
Space group: F-43m, No. 216
Calculated formation energy (eV/atom): 0.0624
Total magnetic moment (μB/atom): 0.00
V (Å³ per atom): 25.51

---

Entry 16:
## CsBi3Br (SCAN)

Data for a PBEsol-optimized structure of CsBi3Br.

Lattice parameters (Å, degrees): 5.844 5.844 5.844 90.00 90.00 90.00
Element x y z (fractional)
1 Cs 0.500 0.500 0.500
2 Bi 0.000 0.500 0.000
3 Bi 0.000 0.000 0.500
4 Bi 0.500 0.000 0.000
5 Br 0.000 0.000 0.000

Results
Mass density (g cm⁻³): 6.99
Space group: Pm-3m, No. 221
Total magnetic moment (μB/atom): 0.00
Raw formation energy (meV per atom): 445
V (Å³ per atom): 39.91

---

Entry 17:
## Sc2FePt (SCAN)

Data for a PBEsol-optimized structure of Sc2FePt.

Lattice parameters (Å, degrees): 3.409 4.189 5.320 113.17 108.68 90.00
Site moments in Bohr magnetons follow the coordinates.
Element x y z (fractional)
1 Fe 0.507 0.507 0.014  2.51
2 Pt 0.241 0.742 0.483  0.07
3 Sc 0.992 0.992 0.984  -0.46
4 Sc 0.760 0.260 0.519  -0.29

Results
Mass density (g cm⁻³): 8.65
Space group: Imm2, No. 44
Calculated formation energy (eV/atom): -0.6493
Total magnetic moment (μB/atom): 0.37
V (Å³ per atom): 16.36

---

Entry 18:
## CaRu2Au (SCAN)

Data for a PBEsol-optimized structure of CaRu2Au.

Lattice parameters (Å, degrees): 2.773 2.773 8.611 90.00 90.00 90.00
Site moments in Bohr magnetons follow the coordinates.
Element x y z (fractional)
1 Au 0.500 0.500 0.000  0.04
2 Ca 0.500 0.500 0.500  -0.06
3 Ru 0.000 0.000 0.772  1.32
4 Ru 0.000 0.000 0.228  1.32

Results
E above lowest polymorph (meV per atom): 454
Mass density (g cm⁻³): 11.01
Space group: P4/mmm, No. 123
Calculated formation energy (eV/atom): 0.5239
Total magnetic moment (μB/atom): 0.63
V (Å³ per atom): 16.56

---

Entry 19:
## Ta2MnPt (SCAN)

Data for a PBEsol-optimized structure of Ta2MnPt.

Lattice parameters (Å, degrees): 3.222 3.222 6.030 90.00 90.00 90.00
Site moments in Bohr magnetons follow the coordinates.
Element x y z (fractional)
1 Mn 0.000 0.000 0.493  3.28
2 Pt 0.500 0.500 0.746  0.13
3 Ta 0.000 0.000 0.988  0.01
4 Ta 0.500 0.500 0.273  -0.52

Results
Mass density (g cm⁻³): 16.24
Space group: P4mm, No. 99
Calculated formation energy (eV/atom): -0.4714
Total magnetic moment (μB/atom): 0.71
V (Å³ per atom): 15.64

---

Entry 20:
## FeHgAs2 (SCAN)

Data for a PBEsol-optimized structure of FeHgAs2.

Lattice parameters (Å, degrees): 4.156 4.156 4.960 114.77 114.77 90.00
Site moments in Bohr magnetons follow the coordinates.
Element x y z (fractional)
1 As 0.750 0.250 0.500  -0.06
2 As 0.250 0.750 0.500  -0.06
3 Fe 0.500 0.500 0.000  2.92
4 Hg 0.000 0.000 0.000  -0.02

Results
Mass density (g cm⁻³): 9.77
Space group: I4/mmm, No. 139
Calculated formation energy (eV/atom): 0.5112
Total magnetic moment (μB/atom): 0.67
V (Å³ per atom): 17.26